# 1
The following is a GGA-PBE calculation of CaNdOs after structural relaxation, from Alexandria.

Cell lengths 11.4693, 4.4146, 8.0277 Å; angles 90.00, 125.60, 90.00 degrees
With the nearest neighbours (Å) after each atom.
Element x y z (fractional)
Ca: 0.0000 0.0000 0.0000  5 Os 3.04-3.40
Ca: 0.0983 0.5000 0.7278  3 Os 3.03-3.18, 2 Nd 3.35
Ca: 0.5000 0.5000 0.0000  5 Os 3.04-3.40
Ca: 0.5983 0.0000 0.7278  3 Os 3.03-3.18, 2 Nd 3.35
Nd: 0.2225 0.0000 0.5520  2 Os 2.86
Nd: 0.3220 0.5000 0.2629  3 Os 2.93-3.25
Nd: 0.7225 0.5000 0.5520  2 Os 2.86
Nd: 0.8220 0.0000 0.2629  3 Os 2.93-3.25
Os: 0.0537 0.5000 0.2979  1 Os 2.47
Os: 0.2987 0.0000 0.0053  1 Os 2.47
Os: 0.5537 0.0000 0.2979  1 Os 2.47
Os: 0.7987 0.5000 0.0053  1 Os 2.47

Properties
Calculated density in g cm⁻³: 7.5
SG: Cm
ΔH_f (0 K) in eV per formula unit: 0.289
Density of states at the Fermi level in states/eV/cell: 12.73

=====

# 2
The following is a GGA-PBE calculation of Ca2Nd5Os2 after structural relaxation, from Alexandria.

Cell lengths 10.4398, 10.4398, 7.9241 Å; angles 90.00, 90.00, 44.44 degrees
With the nearest neighbours (Å) after each atom.
Element x y z (fractional)
Ca: 0.2287 0.2287 0.0000  6 Nd 3.86-3.93, 4 Ca 4.03-4.05
Ca: 0.2713 0.2713 0.5000  6 Nd 3.86-3.93, 4 Ca 4.03-4.05
Ca: 0.7287 0.7287 0.5000  6 Nd 3.86-3.93, 4 Ca 4.03-4.05
Ca: 0.7713 0.7713 0.0000  6 Nd 3.86-3.93, 4 Ca 4.03-4.05
Nd: 0.0000 0.0000 0.0000  4 Os 3.06
Nd: 0.0673 0.7425 0.6627  3 Os 2.88-3.02
Nd: 0.2425 0.5673 0.1627  3 Os 2.88-3.02
Nd: 0.2575 0.9327 0.6627  3 Os 2.88-3.02
Nd: 0.4327 0.7575 0.1627  3 Os 2.88-3.02
Nd: 0.5000 0.5000 0.5000  4 Os 3.06
Nd: 0.5673 0.2425 0.8373  3 Os 2.88-3.02
Nd: 0.7425 0.0673 0.3373  3 Os 2.88-3.02
Nd: 0.7575 0.4327 0.8373  3 Os 2.88-3.02
Nd: 0.9327 0.2575 0.3373  3 Os 2.88-3.02
Os: 0.1390 0.8610 0.3609  8 Nd 2.88-3.06, 1 Os 3.11
Os: 0.3610 0.6390 0.8609  8 Nd 2.88-3.06, 1 Os 3.11
Os: 0.6390 0.3610 0.1391  8 Nd 2.88-3.06, 1 Os 3.11
Os: 0.8610 0.1390 0.6391  8 Nd 2.88-3.06, 1 Os 3.11

Properties
Calculated density in g cm⁻³: 6.5
SG: Cmce
ΔH_f (0 K) in eV per formula unit: -0.121
Density of states at the Fermi level in states/eV/cell: 17.92

=====

Which formula does entry 1 have? CaNdOs

=====

Look up the density of states at the Fermi level of the first one. 12.73 states/eV/cell

=====

Look up the ΔH_f (0 K) of the first one. 0.289 eV per formula unit